CoSiBr2 after structural relaxation, computed with GGA-PBEsol.

CIF file:
```
data_CoSiBr2
_symmetry_space_group_name_H-M 'P 1'
_symmetry_Int_Tables_number 1
_cell_length_a 3.248
_cell_length_b 3.380
_cell_length_c 8.442
_cell_angle_alpha 90.00
_cell_angle_beta 90.00
_cell_angle_gamma 118.71
loop_
_symmetry_equiv_pos_as_xyz
'x,y,z'
loop_
_atom_site_label
_atom_site_fract_x
_atom_site_fract_y
_atom_site_fract_z
_atom_site_occupancy
Br1 0.000 0.000 0.709 1
Br2 0.000 0.000 0.291 1
Co1 0.500 0.000 0.500 1
Si1 0.500 0.000 0.000 1
```

Properties
- Fermi-level density of states (states/eV/cell) = 5.34
- total DFT energy (no corrections) (eV per atom) = -3.805
- density (g/cm3) = 5.04
- crystal system = orthorhombic
- energy relative to the lowest polymorph listed for this composition (meV per atom) = 580